Density functional theory data (PBE-GGA) for an optimized crystal structure of Ac2Dy2Se2S3.

- ΔE_f (raw) (eV per formula unit) = -15.6
- electronic total energy (eV per cell) = -52.4

a = 5.1170 Å, b = 5.1170 Å, c = 10.4435 Å
α = 104.18°, β = 104.18°, γ = 90.00°
Closest atoms and distances in Å follow each position.
Atoms (fractional coordinates):
S  0.0000  0.0000  0.0000  4 Dy 2.56
S  0.7500  0.2500  0.5000  4 Ac 2.93
S  0.2500  0.7500  0.5000  4 Ac 2.93
Se  0.5911  0.5911  0.1823  4 Dy 3.12
Se  0.4089  0.4089  0.8177  4 Dy 3.12
Ac  0.1774  0.1774  0.3547  4 S 2.93
Ac  0.8226  0.8226  0.6453  4 S 2.93
Dy  0.0000  0.5000  0.0000  2 S 2.56
Dy  0.5000  0.0000  0.0000  2 S 2.56